Run w
Pu6OsRu2: optimized geometry, PBE.

## Properties
Its total magnetization is 10.14 μB/f.u.

abc: 5.5083 5.5083 8.2098
angles: 116.15 116.15 52.42
Fractional coordinates of all 9 atoms:
Pu 0.0334 0.0334 0.1948
Pu 0.3017 0.3017 0.9237
Pu 0.3398 0.3398 0.6376
Pu 0.6602 0.6602 0.3624
Pu 0.6983 0.6983 0.0763
Pu 0.9666 0.9666 0.8052
Os 0.0000 0.0000 0.5000
Ru 0.3628 0.3628 0.3112
Ru 0.6372 0.6372 0.6888

=====

Run x
Pu6OsRu2: optimized geometry, PBE.

## Properties
Its total magnetization is 0.00 μB/f.u.

abc: 7.6595 7.6595 2.8873
angles: 90.00 90.00 120.00
Fractional coordinates of all 9 atoms:
Pu 0.0000 0.3361 0.4130
Pu 0.0000 0.6639 0.5870
Pu 0.3361 0.0000 0.4130
Pu 0.3361 0.3361 0.5870
Pu 0.6639 0.0000 0.5870
Pu 0.6639 0.6639 0.4130
Os 0.0000 0.0000 0.0000
Ru 0.3333 0.6667 0.0000
Ru 0.6667 0.3333 0.0000

=====

Energies in meV/atom, measured from the most stable structure: run w 0; run x 110.